[1]
# PBE LaPr2Zn3Pt2Au, relaxed
# **E_tot**: -4.551 eV per atom
# **ΔE_f**: -813 meV/atom
# **Magnetization**: 0.02 μB per formula unit
data_LaPr2Zn3Pt2Au
_cell_length_a 4.025
_cell_length_b 13.038
_cell_length_c 7.576
_cell_angle_alpha 90.00
_cell_angle_beta 90.00
_cell_angle_gamma 90.00
_space_group_name_H-M_alt 'A m m 2'
_space_group_IT_number 38
loop_
_space_group_symop_operation_xyz
'x,y,z'
'-x,-y,z'
'-x,y,z'
'x,-y,z'
'x,y+1/2,z+1/2'
'-x,-y+1/2,z+1/2'
'-x,y+1/2,z+1/2'
'x,-y+1/2,z+1/2'
loop_
_atom_site_label
_atom_site_fract_x
_atom_site_fract_y
_atom_site_fract_z
La1 0.000 0.000 0.000
Pr1 0.000 0.206 0.622
Zn1 0.500 0.000 0.662
Zn2 0.500 0.127 0.291
Pt1 0.500 0.165 0.917
Au1 0.000 0.000 0.414

[2]
# PBE LaPrSi3Au, relaxed
# **E_tot**: -5.693 eV per atom
# **Magnetization**: 0.00 μB per formula unit
data_LaPrSi3Au
_cell_length_a 8.342
_cell_length_b 8.825
_cell_length_c 14.417
_cell_angle_alpha 90.00
_cell_angle_beta 90.00
_cell_angle_gamma 90.00
_space_group_name_H-M_alt 'F m m m'
_space_group_IT_number 69
_space_group_name_Hall '-F 2 2'
loop_
_atom_site_label
_atom_site_fract_x
_atom_site_fract_y
_atom_site_fract_z
La1 0.000 0.243 0.000
Pr1 0.250 0.250 0.250
Si1 0.000 0.000 0.164
Si2 0.246 0.000 0.082
Au1 0.000 0.000 0.333

[3]
# PBE LaPrSi3Au, relaxed
# **E_tot**: -5.688 eV per atom
# **Magnetization**: 0.00 μB per formula unit
data_LaPrSi3Au
_cell_length_a 8.345
_cell_length_b 8.799
_cell_length_c 14.452
_cell_angle_alpha 90.00
_cell_angle_beta 90.00
_cell_angle_gamma 90.00
_space_group_name_H-M_alt 'F m m m'
_space_group_IT_number 69
_space_group_name_Hall '-F 2 2'
loop_
_atom_site_label
_atom_site_fract_x
_atom_site_fract_y
_atom_site_fract_z
La1 0.250 0.250 0.250
Pr1 0.000 0.242 0.000
Si1 0.000 0.000 0.163
Si2 0.246 0.000 0.082
Au1 0.000 0.000 0.334

[4]
# PBE LaPr2Si4Au4, relaxed
# **E_tot**: -5.232 eV per atom
# **Magnetization**: 0.01 μB per formula unit
data_LaPr2Si4Au4
_cell_length_a 4.328
_cell_length_b 4.330
_cell_length_c 25.237
_cell_angle_alpha 90.00
_cell_angle_beta 90.00
_cell_angle_gamma 90.00
_space_group_name_H-M_alt 'I m m m'
_space_group_IT_number 71
_space_group_name_Hall '-I 2 2'
loop_
_atom_site_label
_atom_site_fract_x
_atom_site_fract_y
_atom_site_fract_z
La1 0.000 0.000 0.000
Pr1 0.000 0.500 0.351
Si1 0.000 0.000 0.452
Si2 0.000 0.500 0.192
Au1 0.000 0.000 0.250
Au2 0.000 0.500 0.095

[5]
# PBE LaPrSn2Au4, relaxed
# **E_tot**: -4.568 eV per atom
# **Magnetization**: 0.00 μB per formula unit
data_LaPrSn2Au4
_cell_length_a 4.8114
_cell_length_b 4.8114
_cell_length_c 9.6571
_cell_angle_alpha 90.00
_cell_angle_beta 90.00
_cell_angle_gamma 120.00
_space_group_name_H-M_alt 'P -6 m 2'
_space_group_IT_number 187
_space_group_name_Hall 'P -6 2'
loop_
_atom_site_label
_atom_site_fract_x
_atom_site_fract_y
_atom_site_fract_z
La1 0.0000 0.0000 0.0000
Pr1 0.3333 0.6667 0.5000
Sn1 0.6667 0.3333 0.2501
Au1 0.0000 0.0000 0.3473
Au2 0.3333 0.6667 0.1529

[6]
# PBE LaPtAu, relaxed
# **E_tot**: -5.624 eV per atom
# **ΔE_f**: -876 meV/atom
# **Magnetization**: 0.00 μB per formula unit
data_LaPtAu
_cell_length_a 6.744
_cell_length_b 6.744
_cell_length_c 6.744
_cell_angle_alpha 90.00
_cell_angle_beta 90.00
_cell_angle_gamma 90.00
_space_group_name_H-M_alt 'F -4 3 m'
_space_group_IT_number 216
_space_group_name_Hall 'F -4 2 3'
loop_
_atom_site_label
_atom_site_fract_x
_atom_site_fract_y
_atom_site_fract_z
La1 0.000 0.000 0.000
Pt1 0.250 0.250 0.750
Au1 0.000 0.000 0.500

Copy entry 6 word for word.
# PBE LaPtAu, relaxed
# **E_tot**: -5.624 eV per atom
# **ΔE_f**: -876 meV/atom
# **Magnetization**: 0.00 μB per formula unit
data_LaPtAu
_cell_length_a 6.744
_cell_length_b 6.744
_cell_length_c 6.744
_cell_angle_alpha 90.00
_cell_angle_beta 90.00
_cell_angle_gamma 90.00
_space_group_name_H-M_alt 'F -4 3 m'
_space_group_IT_number 216
_space_group_name_Hall 'F -4 2 3'
loop_
_atom_site_label
_atom_site_fract_x
_atom_site_fract_y
_atom_site_fract_z
La1 0.000 0.000 0.000
Pt1 0.250 0.250 0.750
Au1 0.000 0.000 0.500

> Which formula does entry 3 have?

LaPrSi3Au

Please write out number 2 again, unchanged.
# PBE LaPrSi3Au, relaxed
# **E_tot**: -5.693 eV per atom
# **Magnetization**: 0.00 μB per formula unit
data_LaPrSi3Au
_cell_length_a 8.342
_cell_length_b 8.825
_cell_length_c 14.417
_cell_angle_alpha 90.00
_cell_angle_beta 90.00
_cell_angle_gamma 90.00
_space_group_name_H-M_alt 'F m m m'
_space_group_IT_number 69
_space_group_name_Hall '-F 2 2'
loop_
_atom_site_label
_atom_site_fract_x
_atom_site_fract_y
_atom_site_fract_z
La1 0.000 0.243 0.000
Pr1 0.250 0.250 0.250
Si1 0.000 0.000 0.164
Si2 0.246 0.000 0.082
Au1 0.000 0.000 0.333